A plane-wave DFT calculation with GGA+U was carried out for a relaxed structure of Na3Sr3MoO8.

The space group is R-3m (No. 166, hexagonal axes) and the conventional cell measures 7.1050, 7.1050 and 16.6703 Å, with angles of 90.00, 90.00 and 120.00 degrees. The asymmetric unit holds Na at (0.0000, 0.5000, 0.0000), Sr at (0.0000, 0.5000, 0.5000), Mo at (0.0000, 0.0000, 0.5000), O at (0.0000, 0.0000, 0.2459) and O at (0.0680, 0.5340, 0.2333).

The value obtained for the size of the total moment is 3.36 μB/cell. The calculation puts the total energy at -258.456 eV for the cell shown.